No. 1
First-principles (PBE-GGA) data for a relaxed Nb2NiTe5 crystal, as listed in the Alexandria database.

Geometry as POSCAR:
```
Nb2NiTe5
1.0
-1.4374 -1.5361 -2.5938
7.3526 -1.5945 -0.9802
-2.0319 -15.8208 10.4955
Nb Ni Te
4 2 10
direct
0.7599 0.5198 0.1434
0.2401 0.4802 0.6434
0.2401 0.4802 0.8566
0.7599 0.5198 0.3566
0.1963 0.3926 0.2500
0.8037 0.6074 0.7500
0.8909 0.7817 0.8613
0.3642 0.7284 0.4424
0.6358 0.2716 0.9424
0.8909 0.7817 0.6387
0.6389 0.2778 0.7500
0.1091 0.2183 0.3613
0.3642 0.7284 0.0576
0.3611 0.7222 0.2500
0.1091 0.2183 0.1387
0.6358 0.2716 0.5576
```

Results
* E_form (uncorrected): -0.238 eV/atom
* ρ: 6210 kg/m³

No. 2
First-principles (PBE-GGA) data for a relaxed Nb3NiTe crystal, as listed in the Alexandria database.

Geometry as POSCAR:
```
Nb3NiTe
1.0
4.9928 0.0000 0.0000
0.0000 4.9928 0.0000
0.0000 0.0000 4.9928
Nb Ni Te
3 1 1
direct
0.5000 0.0000 0.0000
0.0000 0.0000 0.5000
0.0000 0.5000 0.0000
0.5000 0.5000 0.5000
0.0000 0.0000 0.0000
```

Results
* E_form (uncorrected): 1.766 eV/atom
* ρ: 6204 kg/m³

No. 3
First-principles (PBE-GGA) data for a relaxed NbNiTe2 crystal, as listed in the Alexandria database.

Geometry as POSCAR:
```
NbNiTe2
1.0
-4.4009 4.1925 -1.7061
-1.7940 -4.3403 -6.0376
-5.4360 -3.9062 4.4233
Te Nb Ni
8 4 4
direct
0.9989 0.6766 0.7500
0.0012 0.6766 0.2500
0.5012 0.2487 0.7500
0.5000 0.7688 0.0000
0.4989 0.2487 0.2500
0.5000 0.7688 0.5000
0.0000 0.1565 0.0000
0.0000 0.1565 0.5000
0.2500 0.4626 0.4566
0.7500 0.4626 0.5434
0.2500 0.4626 0.0434
0.7500 0.4626 0.9566
0.1060 0.3480 0.7500
0.6061 0.5772 0.2500
0.8940 0.3480 0.2500
0.3940 0.5772 0.7500
```

Results
* E_form (uncorrected): -0.452 eV/atom
* ρ: 6974 kg/m³

> Which formula does entry 3 have?

NbNiTe2

> E_form (uncorrected) of number 1 (Nb2NiTe5)?

-0.238 eV/atom